VASP calculation (GGA-PBE) on Mn2TeIr after structural relaxation.

a b c (Å): 5.071 5.071 3.887
angles (deg): 67.46 67.46 44.67
Sites, in units of the cell vectors:
Mn1 0.750 0.750 0.750
Te1 0.501 0.501 0.499
Mn2 0.999 0.999 0.001
Ir1 0.250 0.250 0.250

The value obtained for the magnetization is 6.8 μB per formula unit. For the uncorrected formation energy, the calculation gives 0.217 eV per atom.